Entry 1:
# GGA-PBE K2YMg, relaxed
data_K2YMg
_cell_length_a 3.6671
_cell_length_b 3.6671
_cell_length_c 41.6753
_cell_angle_alpha 90.00
_cell_angle_beta 90.00
_cell_angle_gamma 120.00
_symmetry_space_group_name_H-M 'R -3 m'
_symmetry_Int_Tables_number 166
_symmetry_space_group_name_Hall '-R 3 2"'
loop_
_atom_site_label
_atom_site_fract_x
_atom_site_fract_y
_atom_site_fract_z
_atom_site_occupancy
K1 0.0000 0.0000 0.2472 1
Y1 0.0000 0.0000 0.0000 1
Mg1 0.0000 0.0000 0.5000 1
# * crystal system: trigonal
# * ΔE_f: 0.393 eV/atom
# * final energy: -26.04 eV/cell
# * density of states at the Fermi level: 4.2 states/eV/f.u.

Entry 2:
# GGA-PBE AgRhAu2, relaxed
data_AgRhAu2
_cell_length_a 2.853
_cell_length_b 4.926
_cell_length_c 9.813
_cell_angle_alpha 90.00
_cell_angle_beta 90.00
_cell_angle_gamma 90.00
_symmetry_space_group_name_H-M 'I m m m'
_symmetry_Int_Tables_number 71
_symmetry_space_group_name_Hall '-I 2 2'
loop_
_atom_site_label
_atom_site_fract_x
_atom_site_fract_y
_atom_site_fract_z
_atom_site_occupancy
Ag1 0.000 0.000 0.000 1
Rh1 0.000 0.000 0.500 1
Au1 0.000 0.500 0.243 1
# * E above lowest polymorph: 107.2 meV per atom
# * crystal system: orthorhombic
# * ΔE_f: 0.188 eV/atom
# * final energy: -32.01 eV/cell
# * density of states at the Fermi level: 2.6 states/eV/f.u.

Entry 3:
# GGA-PBE Te2PAu, relaxed
data_Te2PAu
_cell_length_a 4.1034
_cell_length_b 4.1034
_cell_length_c 19.5859
_cell_angle_alpha 90.00
_cell_angle_beta 90.00
_cell_angle_gamma 120.00
_symmetry_space_group_name_H-M 'R -3 m'
_symmetry_Int_Tables_number 166
_symmetry_space_group_name_Hall '-R 3 2"'
loop_
_atom_site_label
_atom_site_fract_x
_atom_site_fract_y
_atom_site_fract_z
_atom_site_occupancy
Te1 0.0000 0.0000 0.2481 1
P1 0.0000 0.0000 0.5000 1
Au1 0.0000 0.0000 0.0000 1
# * ΔE_f (raw): 0.119 eV/atom
# * crystal system: trigonal
# * final energy: -43.48 eV/cell
# * density of states at the Fermi level: 2.7 states/eV/f.u.

Entry 4:
# GGA-PBE K2UHgTe4, relaxed
data_K2UHgTe4
_cell_length_a 8.648
_cell_length_b 8.648
_cell_length_c 7.505
_cell_angle_alpha 90.00
_cell_angle_beta 90.00
_cell_angle_gamma 90.00
_symmetry_space_group_name_H-M 'I -4 2 m'
_symmetry_Int_Tables_number 121
_symmetry_space_group_name_Hall 'I -4 2'
loop_
_atom_site_label
_atom_site_fract_x
_atom_site_fract_y
_atom_site_fract_z
_atom_site_occupancy
K1 0.000 0.500 0.000 1
U1 0.000 0.000 0.000 1
Hg1 0.000 0.000 0.500 1
Te1 0.186 0.186 0.257 1
# * ΔE_f (raw): -0.601 eV/atom
# * crystal system: tetragonal
# * final energy: -62.32 eV/cell
# * density of states at the Fermi level: 8.3 states/eV/f.u.

Entry 5:
# GGA-PBE BaLiCoTe2, relaxed
data_BaLiCoTe2
_cell_length_a 5.370
_cell_length_b 5.370
_cell_length_c 4.732
_cell_angle_alpha 90.00
_cell_angle_beta 90.00
_cell_angle_gamma 90.00
_symmetry_space_group_name_H-M 'P 4/m m m'
_symmetry_Int_Tables_number 123
_symmetry_space_group_name_Hall '-P 4 2'
loop_
_atom_site_label
_atom_site_fract_x
_atom_site_fract_y
_atom_site_fract_z
_atom_site_occupancy
Ba1 0.000 0.000 0.000 1
Li1 0.500 0.500 0.000 1
Co1 0.500 0.500 0.500 1
Te1 0.000 0.500 0.500 1
# * ΔE_f (raw): -0.548 eV/atom
# * crystal system: tetragonal
# * final energy: -19.97 eV/cell
# * density of states at the Fermi level: 4.2 states/eV/f.u.

Entry 6:
# GGA-PBE Np2Be4Si3Ru, relaxed
data_Np2Be4Si3Ru
_cell_length_a 3.836
_cell_length_b 3.836
_cell_length_c 9.625
_cell_angle_alpha 90.00
_cell_angle_beta 90.00
_cell_angle_gamma 90.00
_symmetry_space_group_name_H-M 'P -4 m 2'
_symmetry_Int_Tables_number 115
_symmetry_space_group_name_Hall 'P -4 -2'
loop_
_atom_site_label
_atom_site_fract_x
_atom_site_fract_y
_atom_site_fract_z
_atom_site_occupancy
Np1 0.000 0.500 0.250 1
Be1 0.000 0.000 0.000 1
Be2 0.000 0.500 0.633 1
Be3 0.500 0.500 0.000 1
Si1 0.000 0.500 0.868 1
Si2 0.500 0.500 0.500 1
Ru1 0.000 0.000 0.500 1
# * ΔE_f (raw): -0.214 eV/atom
# * crystal system: tetragonal
# * final energy: -68.47 eV/cell
# * density of states at the Fermi level: 15.2 states/eV/f.u.